The following is a PBE+U calculation of a geometry-optimized InCoO2F structure, from Alexandria via LeMat-Bulk.

Results
- M_tot: 3.03 μB per cell
- SG: P4/mmm
- DFT total energy: -4.700 eV/atom
- DOS at the Fermi energy: 0.519 states/eV/cell

Cell: 4.1832 4.1832 4.0998 Å, 90.00 90.00 90.00°
Last column: nearest neighbours and their distance in Å.
Element x y z (fractional)
F  0.0000  0.0000  0.5000  2 In 2.05
O  0.5000  0.0000  0.0000  2 In 2.09
Co  0.5000  0.5000  0.5000  8 O 2.93, 4 F 2.96
In  0.0000  0.0000  0.0000  2 F 2.05, 4 O 2.09
O  0.0000  0.5000  0.0000  2 In 2.09